Here is a geometry-optimized InCoO3 structure from OQMD. Energies are from GGA+U.

## Properties
crystal system = cubic
SG = No. 221
final energy = -23.0 eV per cell

a b c (Å): 4.0767 4.0767 4.0767
angles (deg): 90.00 90.00 90.00
With the nearest neighbours (Å) after each atom.
Sites, in units of the cell vectors:
1 In 0.0000 0.0000 0.0000  6 O 2.04
2 Co 0.5000 0.5000 0.5000  12 O 2.88
3 O 0.0000 0.0000 0.5000  2 In 2.04
4 O 0.0000 0.5000 0.0000  2 In 2.04
5 O 0.5000 0.0000 0.0000  2 In 2.04